1.
Below is SiNiRu2 after structural relaxation, with properties calculated at the GGA-PBE level.

The volume comes out at 52 Å³ per cell. The uncorrected formation energy comes out at -0.062 eV/atom.

a = 8.157 Å, b = 8.157 Å, c = 8.157 Å
α = 19.39°, β = 19.39°, γ = 19.39°
Site moments in Bohr magnetons follow the coordinates.
Element x y z (fractional)
Ni1 0.750 0.750 0.750  0.50
Ru1 0.996 0.996 0.996  0.12
Ru2 0.504 0.504 0.504  0.12
Si1 0.250 0.250 0.250  -0.01



2.
Below is SiNiRu after structural relaxation, with properties calculated at the GGA-PBE level.

The volume comes out at 45 Å³ per cell. The uncorrected formation energy comes out at 0.016 eV/atom.

a = 3.982 Å, b = 3.982 Å, c = 3.982 Å
α = 59.96°, β = 59.96°, γ = 59.96°
Site moments in Bohr magnetons follow the coordinates.
Element x y z (fractional)
Ni1 0.288 0.288 0.288  0.54
Ru1 0.038 0.038 0.038  0.32
Si1 0.788 0.788 0.788  0.00



Which value of volume does entry 1 give? 52 Å³ per cell



What is the volume in the second record? 45 Å³ per cell



What did the second record say?
Below is SiNiRu after structural relaxation, with properties calculated at the GGA-PBE level.

The volume comes out at 45 Å³ per cell. The uncorrected formation energy comes out at 0.016 eV/atom.

a = 3.982 Å, b = 3.982 Å, c = 3.982 Å
α = 59.96°, β = 59.96°, γ = 59.96°
Site moments in Bohr magnetons follow the coordinates.
Element x y z (fractional)
Ni1 0.288 0.288 0.288  0.54
Ru1 0.038 0.038 0.038  0.32
Si1 0.788 0.788 0.788  0.00